Computed, not measured: Li2MnCo2O6 after structural relaxation at the GGA+U level of DFT.

Values from the calculation:
Excess energy over the best structure of this formula in the dataset, eV per atom: 0.003
VASP energy, eV/atom: -6.009

a = 4.9771 Å, b = 4.9771 Å, c = 10.1202 Å
α = 90.00°, β = 90.00°, γ = 63.24°
Atoms (fractional coordinates):
Li  0.1204  0.3796  0.2500
Li  0.3796  0.1204  0.7500
Li  0.6204  0.8796  0.2500
Li  0.8796  0.6204  0.7500
Mn  0.0000  0.0000  0.0000
Mn  0.5000  0.5000  0.5000
Co  0.1656  0.1656  0.5000
Co  0.3344  0.3344  0.0000
Co  0.6656  0.6656  0.0000
Co  0.8344  0.8344  0.5000
O  0.0360  0.3050  0.8914
O  0.1705  0.8295  0.4073
O  0.1950  0.4640  0.6086
O  0.3050  0.0360  0.1086
O  0.3295  0.6705  0.9073
O  0.4640  0.1950  0.3914
O  0.5360  0.8050  0.6086
O  0.6705  0.3295  0.0927
O  0.6950  0.9640  0.8914
O  0.8050  0.5360  0.3914
O  0.8295  0.1705  0.5927
O  0.9640  0.6950  0.1086